# InCo2SnO6

Crystalline InCo2SnO6 at its relaxed geometry (GGA+U, Alexandria via LeMat-Bulk).

a b c (Å): 5.2474 5.2474 14.1527
angles (deg): 90.00 90.00 120.00
Space group R3 (No. 146, hexagonal axes)
Inequivalent atoms, fractional coordinates:
In 0.0000 0.0000 0.0000
Co 0.0000 0.0000 0.2070
Co 0.0000 0.0000 0.7241
Sn 0.0000 0.0000 0.5134
O 0.0440 0.3704 0.7868
O 0.0489 0.7087 0.2785

Values from the calculation:
**DFT total energy**: -5.967 eV/atom
**DOS(E_F)**: 0.00 states/eV/atom